[1]
This record from Alexandria via LeMat-Bulk describes a relaxed structure of Ba4CaNd3Co8O22. The functional is GGA+U.

Cell: 11.067 8.833 8.696 Å, 78.30 51.40 50.30°
Last column: magnetic moment on the atom in μB.
Element x y z (fractional)
O1 0.370 0.132 0.868  -0.05
O2 0.235 0.538 0.965  -0.14
O3 0.466 0.758 0.736  -0.13
O4 0.999 0.999 0.501  -0.24
O5 0.251 0.251 0.249  0.00
O6 0.758 0.466 0.040  -0.13
O7 0.132 0.370 0.630  -0.05
O8 0.960 0.264 0.242  -0.13
O9 0.499 0.499 0.001  -0.24
O10 0.035 0.738 0.765  -0.14
O11 0.103 0.902 0.098  -0.05
O12 0.860 0.636 0.364  -0.04
O13 0.264 0.960 0.534  -0.13
O14 0.538 0.235 0.262  -0.14
O15 0.902 0.103 0.897  -0.05
O16 0.400 0.596 0.404  -0.04
O17 0.636 0.860 0.140  -0.04
O18 0.016 0.475 0.984  -0.04
O19 0.596 0.400 0.600  -0.04
O20 0.475 0.016 0.525  -0.04
O21 0.751 0.751 0.749  0.00
O22 0.738 0.035 0.462  -0.14
Co1 0.371 0.627 0.875  -2.66
Co2 0.126 0.381 0.121  2.25
Co3 0.381 0.126 0.372  2.25
Co4 0.879 0.628 0.874  2.25
Co5 0.627 0.371 0.128  -2.66
Co6 0.872 0.125 0.373  -2.66
Co7 0.125 0.872 0.629  -2.66
Co8 0.628 0.879 0.619  2.25
Ca1 0.871 0.871 0.129  -0.01
Nd1 0.365 0.365 0.635  -0.01
Nd2 0.636 0.636 0.364  -0.01
Nd3 0.134 0.134 0.866  -0.01
Ba1 0.875 0.374 0.626  0.00
Ba2 0.374 0.875 0.125  0.00
Ba3 0.123 0.628 0.372  0.00
Ba4 0.628 0.123 0.877  0.00

Computed properties:
- VASP energy (eV/cell) = -245.88
- SG = Fmm2, No. 42
- spin magnetization (μB/cell) = 4.1

[2]
This record from Alexandria via LeMat-Bulk describes a relaxed structure of BaCaCo4O12. The functional is GGA+U.

Cell: 5.390 5.390 7.574 Å, 90.00 90.00 90.00°
Last column: magnetic moment on the atom in μB.
Element x y z (fractional)
Co1 0.000 0.500 0.747  2.48
Co2 0.000 0.500 0.253  2.48
Co3 0.500 0.000 0.253  2.48
Co4 0.500 0.000 0.747  2.48
Ba1 0.500 0.500 0.000  0.01
Ca1 0.000 0.000 0.500  0.00
O1 0.500 0.000 0.000  0.48
O2 0.757 0.757 0.262  0.49
O3 0.757 0.243 0.262  0.49
O4 0.243 0.757 0.738  0.49
O5 0.243 0.757 0.262  0.49
O6 0.757 0.757 0.738  0.49
O7 0.500 0.000 0.500  0.52
O8 0.000 0.500 0.500  0.52
O9 0.757 0.243 0.738  0.49
O10 0.000 0.500 0.000  0.48
O11 0.243 0.243 0.738  0.49
O12 0.243 0.243 0.262  0.49

Computed properties:
- VASP energy (eV/cell) = -98.58
- SG = P4/mmm, No. 123
- spin magnetization (μB/cell) = 17.1

[3]
This record from Alexandria via LeMat-Bulk describes a relaxed structure of BaCaCoO3. The functional is GGA+U.

Cell: 4.042 6.867 7.254 Å, 104.71 90.00 107.11°
Last column: magnetic moment on the atom in μB.
Element x y z (fractional)
Ca1 0.353 0.705 0.429  0.00
Ca2 0.647 0.295 0.571  0.00
Co1 0.997 0.993 0.715  2.62
Co2 0.003 0.007 0.285  2.62
O1 0.159 0.318 0.348  0.11
O2 0.849 0.697 0.199  0.10
O3 0.841 0.682 0.652  0.11
O4 0.498 0.996 0.711  0.12
O5 0.502 0.004 0.289  0.12
O6 0.151 0.303 0.801  0.10
Ba1 0.356 0.711 0.923  0.00
Ba2 0.644 0.289 0.077  0.00

Computed properties:
- VASP energy (eV/cell) = -72.87
- SG = C2/m, No. 12
- spin magnetization (μB/cell) = 6.0

[4]
This record from Alexandria via LeMat-Bulk describes a relaxed structure of Ba3CaCo2O6. The functional is GGA+U.

Cell: 6.191 6.191 6.937 Å, 90.00 90.00 120.00°
Last column: magnetic moment on the atom in μB.
Element x y z (fractional)
Ba1 0.333 0.667 0.666  -0.02
Ba2 0.667 0.333 0.334  -0.02
Ba3 0.000 0.000 0.000  0.00
O1 0.168 0.337 0.291  0.16
O2 0.337 0.168 0.709  0.16
O3 0.832 0.168 0.709  0.16
O4 0.832 0.663 0.709  0.16
O5 0.168 0.832 0.291  0.16
O6 0.663 0.832 0.291  0.16
Ca1 0.000 0.000 0.500  0.02
Co1 0.333 0.667 0.226  2.48
Co2 0.667 0.333 0.774  2.48

Computed properties:
- VASP energy (eV/cell) = -70.71
- SG = P-3m1, No. 164
- spin magnetization (μB/cell) = 6.0

| no. | volume (Å³/atom) | mass density (Mg/m³) |
| --- | --- | --- |
| 1 | 12.7 | 6.34 |
| 2 | 12.2 | 4.57 |
| 3 | 15.5 | 5.09 |
| 4 | 19.2 | 4.80 |